Entry 1:
DFT (meta-GGA SCAN) results for a crystal of Te2PbBr relaxed with PBEsol.

Cell and atoms, written as extended XYZ:
```
4
Lattice="-0.564 1.512 3.689 1.453 -3.817 1.786 6.441 2.444 -0.017" Properties=species:S:1:pos:R:3 pbc="T T T"
Te 1.918 0.728 -0.005
Te 4.524 1.716 -0.012
Br 0.445 -1.153 2.738
Pb 3.665 0.069 2.729
```

Energy relative to the lowest polymorph listed for this composition in kcal/mol of atoms: 4.26

***

Entry 2:
DFT (meta-GGA SCAN) results for a crystal of Te2PbBr relaxed with PBEsol.

Cell and atoms, written as extended XYZ:
```
4
Lattice="-1.339 2.622 -2.530 2.940 -1.776 -3.396 -5.254 -4.407 1.191" Properties=species:S:1:pos:R:3 pbc="T T T"
Te -2.378 -2.127 -0.946
Br -0.669 1.311 -1.265
Te -1.275 -1.434 -3.789
Pb 1.470 -0.888 -1.698
```

Energy relative to the lowest polymorph listed for this composition in kcal/mol of atoms: 0.25

***

Entry 3:
DFT (meta-GGA SCAN) results for a crystal of Te2PbBr relaxed with PBEsol.

Cell and atoms, written as extended XYZ:
```
4
Lattice="-2.769 1.770 0.264 -1.703 -1.725 5.432 2.226 3.598 5.097" Properties=species:S:1:pos:R:3 pbc="T T T"
Pb -1.385 0.885 0.132
Br -2.236 0.023 2.848
Te 0.262 0.937 5.264
Te 1.113 1.799 2.548
```

Energy relative to the lowest polymorph listed for this composition in kcal/mol of atoms: 4.90

***

Entry 4:
DFT (meta-GGA SCAN) results for a crystal of Tl2TePbBr relaxed with PBEsol.

Cell and atoms, written as extended XYZ:
```
5
Lattice="-3.885 -0.495 -4.028 3.970 -3.168 -3.439 -1.968 -5.224 2.541" Properties=species:S:1:pos:R:3 pbc="T T T"
Tl 1.985 -1.584 -1.720
Tl -0.984 -2.612 1.270
Te -1.943 -0.248 -2.014
Br -0.942 -4.444 -2.463
Pb 0.000 0.000 0.000
```

***

What uncorrected formation energy values result from the calculations? In sequence: -86 -260 -59 12 meV/atom.